Run one
# DyTh2In3

A relaxed DyTh2In3 crystal (PBE, Alexandria).

Summary:
The magnetization is 0.000 μB per formula unit.

Cell: 5.9899 7.7157 7.7157 Å, 96.15 90.00 90.00°
Closest atoms and distances in Å follow each position.
Atoms (fractional coordinates):
1 Dy 0.7500 0.8934 0.8934  5 In 3.16-3.23
2 Dy 0.2500 0.1066 0.1066  5 In 3.16-3.23
3 Th 0.7500 0.4045 0.1410  1 Th 3.03, 4 In 3.24-3.35
4 Th 0.2500 0.5955 0.8590  1 Th 3.03, 4 In 3.24-3.35
5 Th 0.2500 0.8590 0.5955  1 Th 3.03, 4 In 3.24-3.35
6 Th 0.7500 0.1410 0.4045  1 Th 3.03, 4 In 3.24-3.35
7 In 0.2500 0.4195 0.4195  1 Dy 3.23, 6 In 3.42-3.61, 2 Th 3.51
8 In 0.7500 0.5805 0.5805  1 Dy 3.23, 6 In 3.42-3.61, 2 Th 3.51
9 In 0.5000 0.2230 0.7770  2 In 2.99, 2 Dy 3.16, 4 Th 3.24-3.35
10 In 0.0000 0.2230 0.7770  2 In 2.99, 2 Dy 3.16, 4 Th 3.24-3.35
11 In 0.5000 0.7770 0.2230  2 In 2.99, 2 Dy 3.16, 4 Th 3.24-3.35
12 In 0.0000 0.7770 0.2230  2 In 2.99, 2 Dy 3.16, 4 Th 3.24-3.35

---

Run two
# DyTh2In3

A relaxed DyTh2In3 crystal (PBE, Alexandria).

Summary:
The magnetization is 0.000 μB per formula unit.

Cell: 3.5240 3.5240 13.4892 Å, 90.00 90.00 90.00°
Closest atoms and distances in Å follow each position.
Atoms (fractional coordinates):
1 Dy 0.5000 0.5000 0.5000  8 In 3.28, 4 Dy 3.52
2 Th 0.5000 0.5000 0.8291  8 In 3.39, 4 Th 3.52
3 Th 0.5000 0.5000 0.1709  8 In 3.39, 4 Th 3.52
4 In 0.0000 0.0000 0.0000  8 Th 3.39, 4 In 3.52
5 In 0.0000 0.0000 0.6583  4 Dy 3.28, 4 Th 3.39, 4 In 3.52
6 In 0.0000 0.0000 0.3417  4 Dy 3.28, 4 Th 3.39, 4 In 3.52

---

Among the structures shown above, run two is the most stable, with the second-best lying 232 meV/atom higher.